## CaP2PtS (PBE)

Data for a relaxed CaP2PtS crystal.

Calculated values
E_form (uncorrected) ... 1338.9 meV per atom
E_tot ... -16.295 eV/f.u.

abc: 5.134 5.134 4.940
angles: 90.00 90.00 90.00
Positions (direct):
P1 0.000 0.500 0.000
P2 0.500 0.000 0.000
Ca1 0.000 0.000 0.000
S1 0.000 0.000 0.500
Pt1 0.500 0.500 0.500